--- i ---
# ScV2Ge2 (GGA-PBE, relaxed)
data_ScV2Ge2
_cell_length_a 6.362
_cell_length_b 6.362
_cell_length_c 6.362
_cell_angle_alpha 145.63
_cell_angle_beta 145.63
_cell_angle_gamma 49.39
_symmetry_space_group_name_H-M 'P 1'
_symmetry_Int_Tables_number 1
loop_
_symmetry_equiv_pos_as_xyz
'x,y,z'
loop_
_atom_site_label
_atom_site_type_symbol
_atom_site_fract_x
_atom_site_fract_y
_atom_site_fract_z
Sc1 Sc 0.000 0.000 0.000
V1 V 0.250 0.750 0.500
V2 V 0.750 0.250 0.500
Ge1 Ge 0.395 0.395 0.000
Ge2 Ge 0.605 0.605 0.000
# SG	I4/mmm
# magnetization	0.00	μB per cell


--- ii ---
# ScV2Ge2 (GGA-PBE, relaxed)
data_ScV2Ge2
_cell_length_a 7.612
_cell_length_b 7.612
_cell_length_c 2.730
_cell_angle_alpha 90.00
_cell_angle_beta 90.00
_cell_angle_gamma 90.00
_symmetry_space_group_name_H-M 'P 1'
_symmetry_Int_Tables_number 1
loop_
_symmetry_equiv_pos_as_xyz
'x,y,z'
loop_
_atom_site_label
_atom_site_type_symbol
_atom_site_fract_x
_atom_site_fract_y
_atom_site_fract_z
Sc1 Sc 0.000 0.000 0.000
Sc2 Sc 0.500 0.500 0.000
V1 V 0.112 0.388 0.000
V2 V 0.388 0.888 0.000
V3 V 0.612 0.112 0.000
V4 V 0.888 0.612 0.000
Ge1 Ge 0.181 0.681 0.500
Ge2 Ge 0.319 0.181 0.500
Ge3 Ge 0.681 0.819 0.500
Ge4 Ge 0.819 0.319 0.500
# SG	P4/mbm
# magnetization	0.00	μB per cell


Stability comparison, relative energies in eV/atom: i 0.000; ii 0.259